1.
## SmDySiPd (PBE-GGA)

Data for a relaxed structure of SmDySiPd.

Structure (extended XYZ):
```
4
Lattice="4.237 0.000 0.000 0.000 2.007 5.467 0.000 -2.007 5.467" Properties=species:S:1:pos:R:3 pbc="T T T"
Sm 0.000 0.000 0.000
Dy 2.119 0.000 3.055
Si 0.000 0.000 7.888
Pd 2.119 0.000 6.233
```

* space group: Amm2 (38)
* density of states at the Fermi level: 2.39 states/eV/f.u.
* energy above the most stable polymorph in this dataset: 0.00 kcal/mol of atoms
* size of the total moment: 0.00 μB/f.u.
* ΔE_f (raw): -77.9 kJ/mol of atoms

=====

2.
## LiLa2TlS (PBE-GGA)

Data for a relaxed structure of LiLa2TlS.

Structure (extended XYZ):
```
5
Lattice="5.643 0.000 0.000 0.000 5.643 0.000 0.000 0.000 4.482" Properties=species:S:1:pos:R:3 pbc="T T T"
Li 0.000 0.000 0.000
La 0.000 2.822 2.241
La 2.822 0.000 2.241
Tl 2.822 2.822 0.000
S 0.000 0.000 2.241
```

* space group: P4/mmm (123)
* density of states at the Fermi level: 5.26 states/eV/f.u.
* size of the total moment: 0.00 μB/f.u.
* ΔE_f (raw): -89.8 kJ/mol of atoms

=====

3.
## Be2VReOs (PBE-GGA)

Data for a relaxed structure of Be2VReOs.

Structure (extended XYZ):
```
5
Lattice="4.042 0.000 0.000 0.000 4.042 0.000 0.000 0.000 4.380" Properties=species:S:1:pos:R:3 pbc="T T T"
Be 0.000 2.021 0.000
Be 2.021 0.000 0.000
V 0.000 0.000 0.000
Re 2.021 2.021 2.190
Os 0.000 0.000 2.190
```

* space group: P4/mmm (123)
* density of states at the Fermi level: 4.53 states/eV/f.u.
* E_form: 1.6485 eV/atom
* size of the total moment: 0.00 μB/f.u.

=====

4.
## Ho12CdPd6 (PBE-GGA)

Data for a relaxed structure of Ho12CdPd6.

Structure (extended XYZ):
```
19
Lattice="7.027 4.057 2.978 -7.027 4.057 2.978 0.000 -8.114 2.978" Properties=species:S:1:pos:R:3 pbc="T T T"
Ho -0.450 -2.153 1.575
Ho -1.639 1.466 1.575
Ho -3.273 -0.493 3.810
Ho 2.089 0.687 1.575
Ho -1.210 -3.081 5.123
Ho 2.063 -2.588 3.810
Ho -2.063 2.588 5.123
Ho 1.210 3.081 3.810
Ho -2.089 -0.687 7.358
Ho 3.273 0.493 5.123
Ho 1.639 -1.466 7.358
Ho 0.450 2.153 7.358
Cd 0.000 0.000 4.467
Pd -4.005 -2.934 4.939
Pd -4.544 2.002 3.994
Pd 0.539 -4.936 3.994
Pd -0.539 4.936 4.939
Pd 4.544 -2.002 4.939
Pd 4.005 2.934 3.994
```

* space group: R-3 (148)
* density of states at the Fermi level: 16.59 states/eV/f.u.
* energy above the most stable polymorph in this dataset: 2.42 kcal/mol of atoms
* E_form: -0.4885 eV/atom
* size of the total moment: 0.00 μB/f.u.